(1)
4
Lattice="0.0000 3.6244 3.6244 3.6244 0.0000 3.6244 3.6244 3.6244 0.0000" Properties=species:S:1:pos:R:3 comment="CaSmInIr GGA-PBE relaxed" magnetic_moment_mub_per_atom=0.00 e_tot_ev_per_atom=-4.9635 crystal_system=cubic mass_density_g_cm3=8.68 sg="F-43m, No. 216" pbc="T T T"
Ca 0.0000 0.0000 0.0000
Sm 3.6244 3.6244 3.6244
In 5.4365 5.4365 5.4365
Ir 1.8122 1.8122 1.8122

(2)
10
Lattice="4.4445 0.0000 0.0000 0.0000 4.4445 0.0000 0.0000 0.0000 11.1012" Properties=species:S:1:pos:R:3 comment="Ca2InSn3Ir4 GGA-PBE relaxed" magnetic_moment_mub_per_atom=0.00 e_tot_ev_per_atom=-5.8325 crystal_system=tetragonal mass_density_g_cm3=10.00 sg="P-4m2, No. 115" pbc="T T T"
Ca 0.0000 2.2223 2.6614
Ca 2.2223 0.0000 8.4398
In 0.0000 0.0000 5.5506
Sn 0.0000 2.2223 9.6655
Sn 2.2223 0.0000 1.4357
Sn 2.2223 2.2223 5.5506
Ir 0.0000 0.0000 0.0000
Ir 0.0000 2.2223 7.0731
Ir 2.2223 0.0000 4.0281
Ir 2.2223 2.2223 0.0000

(3)
5
Lattice="5.8417 0.0000 0.0000 0.0000 5.8417 0.0000 0.0000 0.0000 5.2906" Properties=species:S:1:pos:R:3 comment="Sr2CaInIr GGA-PBE relaxed" magnetic_moment_mub_per_atom=0.00 e_tot_ev_per_atom=-3.5195 crystal_system=tetragonal mass_density_g_cm3=4.80 sg="P4/mmm, No. 123" pbc="T T T"
Sr 0.0000 2.9208 0.0000
Sr 2.9208 0.0000 0.0000
Ca 0.0000 0.0000 2.6453
In 2.9208 2.9208 2.6453
Ir 2.9208 2.9208 0.0000

(4)
5
Lattice="5.2764 0.0000 0.0000 0.0000 5.2764 0.0000 0.0000 0.0000 5.3742" Properties=species:S:1:pos:R:3 comment="SrCaIn2Ir GGA-PBE relaxed" magnetic_moment_mub_per_atom=0.00 e_tot_ev_per_atom=-3.8816 crystal_system=tetragonal mass_density_g_cm3=6.10 sg="P4/mmm, No. 123" pbc="T T T"
Sr 0.0000 0.0000 0.0000
Ca 2.6382 2.6382 0.0000
In 0.0000 2.6382 2.6871
In 2.6382 0.0000 2.6871
Ir 2.6382 2.6382 2.6871

(5)
5
Lattice="5.5169 0.0000 0.0000 0.0000 5.5169 0.0000 0.0000 0.0000 5.3449" Properties=species:S:1:pos:R:3 comment="SrCa2InIr GGA-PBE relaxed" magnetic_moment_mub_per_atom=0.00 e_tot_ev_per_atom=-3.7012 crystal_system=tetragonal mass_density_g_cm3=4.85 sg="P4/mmm, No. 123" pbc="T T T"
Sr 0.0000 0.0000 0.0000
Ca 0.0000 2.7585 2.6725
Ca 2.7585 0.0000 2.6725
In 2.7585 2.7585 0.0000
Ir 2.7585 2.7585 2.6725

(6)
5
Lattice="5.4819 0.0000 0.0000 0.0000 5.4819 0.0000 0.0000 0.0000 4.8664" Properties=species:S:1:pos:R:3 comment="Ca2TaInIr GGA-PBE relaxed" magnetic_moment_mub_per_atom=0.14 e_tot_ev_per_atom=-5.2460 crystal_system=tetragonal mass_density_g_cm3=6.45 sg="P4/mmm, No. 123" pbc="T T T"
Ca 0.0000 2.7409 0.0000
Ca 2.7409 0.0000 0.0000
Ta 0.0000 0.0000 2.4332
In 2.7409 2.7409 2.4332
Ir 0.0000 0.0000 0.0000

(7)
5
Lattice="5.4552 0.0000 0.0000 0.0000 5.4552 0.0000 0.0000 0.0000 5.1206" Properties=species:S:1:pos:R:3 comment="Ca2InTeIr GGA-PBE relaxed" magnetic_moment_mub_per_atom=0.00 crystal_system=tetragonal formation_energy_uncorrected_ev_per_atom=-0.5844 mass_density_g_cm3=5.61 sg="P4/mmm, No. 123" pbc="T T T"
Ca 0.0000 2.7276 0.0000
Ca 2.7276 0.0000 0.0000
In 0.0000 0.0000 2.5603
Te 2.7276 2.7276 2.5603
Ir 0.0000 0.0000 0.0000

(8)
5
Lattice="5.4678 0.0000 0.0000 0.0000 5.4678 0.0000 0.0000 0.0000 5.2012" Properties=species:S:1:pos:R:3 comment="Ca2TlInIr GGA-PBE relaxed" magnetic_moment_mub_per_atom=0.00 e_tot_ev_per_atom=-3.8435 crystal_system=tetragonal mass_density_g_cm3=6.32 sg="P4/mmm, No. 123" pbc="T T T"
Ca 0.0000 2.7339 0.0000
Ca 2.7339 0.0000 0.0000
Tl 0.0000 0.0000 2.6006
In 2.7339 2.7339 2.6006
Ir 2.7339 2.7339 0.0000

(9)
5
Lattice="5.1382 0.0000 0.0000 0.0000 5.1382 0.0000 0.0000 0.0000 5.1867" Properties=species:S:1:pos:R:3 comment="CaZrIn2Ir GGA-PBE relaxed" magnetic_moment_mub_per_atom=0.22 e_tot_ev_per_atom=-4.6569 crystal_system=tetragonal mass_density_g_cm3=6.71 sg="P4/mmm, No. 123" pbc="T T T"
Ca 0.0000 0.0000 0.0000
Zr 2.5691 2.5691 0.0000
In 0.0000 2.5691 2.5933
In 2.5691 0.0000 2.5933
Ir 0.0000 0.0000 2.5933

(10)
4
Lattice="2.7643 -2.7703 0.0000 2.7643 2.7703 0.0000 0.0000 0.0000 11.9079" Properties=species:S:1:pos:R:3 comment="K2CaIn GGA-PBE relaxed" magnetic_moment_mub_per_atom=0.02 e_tot_ev_per_atom=-1.5945 crystal_system=orthorhombic mass_density_g_cm3=2.12 sg="Cmmm, No. 65" pbc="T T T"
K 0.0000 0.0000 2.5002
K 0.0000 0.0000 9.4077
Ca 2.7643 0.0000 5.9539
In 2.7643 0.0000 0.0000

(11)
4
Lattice="1.9503 1.1260 12.3724 -1.9503 1.1260 12.3724 0.0000 -2.2520 12.3724" Properties=species:S:1:pos:R:3 comment="KCa2In GGA-PBE relaxed" magnetic_moment_mub_per_atom=0.00 e_tot_ev_per_atom=-2.0207 crystal_system=trigonal mass_density_g_cm3=2.38 sg="R-3m, No. 166" pbc="T T T"
K 0.0000 0.0000 0.0000
Ca 0.0000 0.0000 8.6773
Ca 0.0000 0.0000 28.4399
In 0.0000 0.0000 18.5586

(12)
4
Lattice="3.7269 -5.7530 0.0000 3.7269 5.7530 0.0000 -1.4736 0.0000 3.5556" Properties=species:S:1:pos:R:3 comment="KCa2In GGA-PBE relaxed" magnetic_moment_mub_per_atom=0.00 e_tot_ev_per_atom=-1.8961 crystal_system=monoclinic mass_density_g_cm3=2.55 sg="C2/m, No. 12" pbc="T T T"
K 0.0000 0.0000 0.0000
Ca 1.1266 2.8765 1.7778
Ca 1.1266 -2.8765 1.7778
In 3.7269 0.0000 0.0000

(13)
4
Lattice="4.5978 0.0000 0.0000 0.0000 5.4435 0.0000 0.0000 0.0000 6.5558" Properties=species:S:1:pos:R:3 comment="K2CaIn GGA-PBE relaxed" magnetic_moment_mub_per_atom=0.00 e_tot_ev_per_atom=-1.6743 crystal_system=orthorhombic mass_density_g_cm3=2.36 sg="Pmmm, No. 47" pbc="T T T"
K 0.0000 0.0000 0.0000
K 2.2989 2.7217 0.0000
Ca 0.0000 2.7217 3.2779
In 2.2989 0.0000 3.2779

(14)
4
Lattice="3.8448 0.0000 0.0000 0.0000 3.9477 0.0000 0.0000 0.0000 10.7668" Properties=species:S:1:pos:R:3 comment="KCa2In GGA-PBE relaxed" magnetic_moment_mub_per_atom=0.00 e_tot_ev_per_atom=-2.1206 crystal_system=orthorhombic mass_density_g_cm3=2.38 sg="Pmmm, No. 47" pbc="T T T"
K 0.0000 0.0000 0.0000
Ca 1.9224 1.9738 3.5176
Ca 1.9224 1.9738 7.2492
In 0.0000 0.0000 5.3834